{
  "formula": "In12Bi3Pb5",
  "functional": "PBE",
  "state": "relaxed",
  "spacegroup": "Ia-3d (230)",
  "ef_mev_per_atom": 196,
  "magmom_total_mub_per_cell": 0.00,
  "crystal_system": "cubic",
  "energy_ev_per_atom": -2.957,
  "lattice_angstrom": [[-9.0185, 9.0185, 9.0185], [9.0185, -9.0185, 9.0185], [9.0185, 9.0185, -9.0185]],
  "species": ["In", "In", "In", "In", "In", "In", "In", "In", "In", "In", "In", "In", "In", "In", "In", "In", "In", "In", "In", "In", "In", "In", "In", "In", "In", "In", "In", "In", "In", "In", "In", "In", "In", "In", "In", "In", "In", "In", "In", "In", "In", "In", "In", "In", "In", "In", "In", "In", "Bi", "Bi", "Bi", "Bi", "Bi", "Bi", "Bi", "Bi", "Bi", "Bi", "Bi", "Bi", "Pb", "Pb", "Pb", "Pb", "Pb", "Pb", "Pb", "Pb", "Pb", "Pb", "Pb", "Pb", "Pb", "Pb", "Pb", "Pb", "Pb", "Pb", "Pb", "Pb"],
  "frac_coords": [[0.0642, 0.2295, 0.1422], [0.0642, 0.3347, 0.9220], [0.0780, 0.6422, 0.4127], [0.0780, 0.9358, 0.6653], [0.0873, 0.7295, 0.6653], [0.0873, 0.8578, 0.4220], [0.1422, 0.0642, 0.2295], [0.1422, 0.5780, 0.9127], [0.1653, 0.2295, 0.5873], [0.1653, 0.4358, 0.5780], [0.2295, 0.1422, 0.0642], [0.2295, 0.5873, 0.1653], [0.2705, 0.3347, 0.9127], [0.2705, 0.4358, 0.3578], [0.3347, 0.9127, 0.2705], [0.3347, 0.9220, 0.0642], [0.3578, 0.2705, 0.4358], [0.3578, 0.5873, 0.9220], [0.4127, 0.0780, 0.6422], [0.4127, 0.8347, 0.7705], [0.4220, 0.0873, 0.8578], [0.4220, 0.8347, 0.5642], [0.4358, 0.3578, 0.2705], [0.4358, 0.5780, 0.1653], [0.5642, 0.4220, 0.8347], [0.5642, 0.6422, 0.7295], [0.5780, 0.1653, 0.4358], [0.5780, 0.9127, 0.1422], [0.5873, 0.1653, 0.2295], [0.5873, 0.9220, 0.3578], [0.6422, 0.4127, 0.0780], [0.6422, 0.7295, 0.5642], [0.6653, 0.0780, 0.9358], [0.6653, 0.0873, 0.7295], [0.7295, 0.5642, 0.6422], [0.7295, 0.6653, 0.0873], [0.7705, 0.4127, 0.8347], [0.7705, 0.8578, 0.9358], [0.8347, 0.5642, 0.4220], [0.8347, 0.7705, 0.4127], [0.8578, 0.4220, 0.0873], [0.8578, 0.9358, 0.7705], [0.9127, 0.1422, 0.5780], [0.9127, 0.2705, 0.3347], [0.9220, 0.0642, 0.3347], [0.9220, 0.3578, 0.5873], [0.9358, 0.6653, 0.0780], [0.9358, 0.7705, 0.8578], [0.1250, 0.2500, 0.3750], [0.1250, 0.3750, 0.7500], [0.2500, 0.3750, 0.1250], [0.2500, 0.8750, 0.6250], [0.3750, 0.1250, 0.2500], [0.3750, 0.7500, 0.1250], [0.6250, 0.2500, 0.8750], [0.6250, 0.8750, 0.7500], [0.7500, 0.1250, 0.3750], [0.7500, 0.6250, 0.8750], [0.8750, 0.6250, 0.2500], [0.8750, 0.7500, 0.6250], [0.0000, 0.0000, 0.0000], [0.0000, 0.0000, 0.5000], [0.0000, 0.5000, 0.0000], [0.0000, 0.5000, 0.5000], [0.1250, 0.7500, 0.8750], [0.1250, 0.8750, 0.2500], [0.2500, 0.1250, 0.8750], [0.2500, 0.6250, 0.3750], [0.3750, 0.2500, 0.6250], [0.3750, 0.6250, 0.7500], [0.5000, 0.0000, 0.0000], [0.5000, 0.0000, 0.5000], [0.5000, 0.5000, 0.0000], [0.5000, 0.5000, 0.5000], [0.6250, 0.3750, 0.2500], [0.6250, 0.7500, 0.3750], [0.7500, 0.3750, 0.6250], [0.7500, 0.8750, 0.1250], [0.8750, 0.1250, 0.7500], [0.8750, 0.2500, 0.1250]]
}